Density functional theory data (GGA-PBE) for a relaxed structure of PrEr2Co.

Energy of formation from the pure elements (eV per atom): -0.117

a = 3.644 Å, b = 9.445 Å, c = 6.364 Å
α = 90.00°, β = 106.55°, γ = 90.00°
Space group P2_1/m (No. 11)
Unique sites:
Pr  0.081  0.250  0.162 x2
Er  0.356  0.073  0.713 x4
Co  0.244  0.750  0.488 x2